# LiN2O

A relaxed structure of LiN2O (PBE, Alexandria via LeMat-Bulk).

For the total DFT energy (no corrections), the calculation gives -0.3185 Ry/atom. The total magnetic moment is 4.00 Bohr magnetons per cell. As for the energy relative to the elements, uncorrected: 1547 meV/atom.

It has space group I-42d (No. 122), with a = 4.669 Å, b = 4.669 Å, c = 7.041 Å, α = 90.00°, β = 90.00° and γ = 90.00°. The distinct sites, in fractional coordinates, are Li at (0.000, 0.000, 0.000), N at (0.189, 0.250, 0.625) and O at (0.000, 0.000, 0.500).